(1)
Pm2HoIn | PBE-GGA | relaxed

Lattice parameters (Å, degrees): 5.533 5.533 5.533 60.00 60.00 60.00
Site moments in Bohr magnetons follow the coordinates.
Element x y z (fractional)
Pm (0.750, 0.750, 0.750)  0.13
Ho (0.000, 0.000, 0.000)  0.22
In (0.500, 0.500, 0.500)  0.00
Pm (0.250, 0.250, 0.250)  0.13

Calculated values
- Energy of formation from the pure elements: -0.6 eV per formula unit
- Crystal system: cubic
- Density: 7.90 g/cm3
- Space-group type: Fm-3m, No. 225

=====

(2)
Pm4HoIn | PBE-GGA | relaxed

Lattice parameters (Å, degrees): 3.584 6.904 15.562 90.00 96.61 90.00
Element x y z (fractional)
Pm (0.159, 0.506, 0.318)
Pm (0.159, 0.994, 0.318)
Pm (0.000, 0.000, 0.000)
Pm (0.582, 0.250, 0.164)
In (0.579, 0.750, 0.159)
Pm (0.841, 0.006, 0.682)
Pm (0.000, 0.500, 0.000)
Ho (0.257, 0.750, 0.514)
Pm (0.841, 0.494, 0.682)
Pm (0.418, 0.750, 0.836)
Ho (0.743, 0.250, 0.486)
In (0.421, 0.250, 0.841)

Calculated values
- Energy of formation from the pure elements: -0.4 eV per formula unit
- Crystal system: orthorhombic
- Density: 7.46 g/cm3
- Space-group type: Cmcm, No. 63

=====

Number 1: DOS(E_F) 6.89 states/eV/f.u.. Number 2: DOS(E_F) 8.45 states/eV/f.u..